No. 1
First-principles (GGA-PBE) data for a geometry-optimized Sr2Al4CuPd structure, as listed in the Open Quantum Materials Database.

a b c (Å): 7.359 6.090 6.090
angles (deg): 40.44 90.00 90.00
Sites, in units of the cell vectors:
Cu  0.000  0.727  0.727
Al  0.693  0.823  0.823
Pd  0.500  0.276  0.276
Al  0.185  0.175  0.175
Al  0.307  0.823  0.823
Sr  0.000  0.453  0.453
Al  0.815  0.175  0.175
Sr  0.500  0.548  0.548

Values from the calculation:
Its total energy is -3.86 eV per atom. The space-group type is No. 38.

=====

No. 2
First-principles (GGA-PBE) data for a geometry-optimized Co2ReB structure, as listed in the Open Quantum Materials Database.

a b c (Å): 3.893 3.893 3.893
angles (deg): 60.00 60.00 60.00
Sites, in units of the cell vectors:
Re  0.250  0.250  0.250
B  0.500  0.500  0.500
Co  0.000  0.000  0.000
Co  0.750  0.750  0.750

Values from the calculation:
Its total energy is -8.08 eV per atom. The space-group type is No. 216.

=====

No. 3
First-principles (GGA-PBE) data for a geometry-optimized Sr2AgPt structure, as listed in the Open Quantum Materials Database.

a b c (Å): 5.342 7.532 16.014
angles (deg): 90.00 90.00 90.00
Sites, in units of the cell vectors:
Sr  0.500  0.750  0.000
Ag  0.500  0.000  0.834
Sr  0.000  0.750  0.500
Sr  0.000  0.750  0.833
Pt  0.000  0.000  0.333
Pt  0.500  0.500  0.500
Ag  0.000  0.500  0.000
Sr  0.000  0.250  0.833
Pt  0.000  0.000  0.667
Pt  0.000  0.000  0.000
Pt  0.500  0.500  0.167
Sr  0.000  0.250  0.500
Ag  0.500  0.000  0.500
Pt  0.500  0.500  0.833
Sr  0.500  0.250  0.333
Ag  0.000  0.500  0.334
Ag  0.000  0.500  0.666
Sr  0.000  0.250  0.167
Sr  0.500  0.750  0.667
Ag  0.500  0.000  0.166
Sr  0.000  0.750  0.167
Sr  0.500  0.250  0.000
Sr  0.500  0.750  0.333
Sr  0.500  0.250  0.667

Values from the calculation:
For the polymorph energy (0 for the lowest one), the calculation gives 69.3 meV per atom. The space-group type is No. 139.

=====

No. 4
First-principles (GGA-PBE) data for a geometry-optimized KLiPtW structure, as listed in the Open Quantum Materials Database.

a b c (Å): 4.732 4.732 4.732
angles (deg): 60.00 60.00 60.00
Sites, in units of the cell vectors:
K  0.500  0.500  0.500
Pt  0.250  0.250  0.250
Li  0.750  0.750  0.750
W  0.000  0.000  0.000

Values from the calculation:
For the polymorph energy (0 for the lowest one), the calculation gives 211.4 meV per atom. The space-group type is No. 216.

=====

No. 5
First-principles (GGA-PBE) data for a geometry-optimized ZrNbSnC structure, as listed in the Open Quantum Materials Database.

a b c (Å): 3.292 3.292 14.482
angles (deg): 90.00 90.00 120.00
Sites, in units of the cell vectors:
Sn  0.333  0.667  0.500
C  0.000  0.000  0.258
Sn  0.667  0.333  0.000
Nb  0.667  0.333  0.339
Nb  0.667  0.333  0.661
C  0.000  0.000  0.742
Zr  0.333  0.667  0.831
Zr  0.333  0.667  0.169

Values from the calculation:
For the polymorph energy (0 for the lowest one), the calculation gives 13.3 meV per atom. The space-group type is No. 187.

=====

No. 6
First-principles (GGA-PBE) data for a geometry-optimized Hf3CuP structure, as listed in the Open Quantum Materials Database.

a b c (Å): 5.809 5.809 9.395
angles (deg): 90.00 90.00 143.56
Sites, in units of the cell vectors:
P  0.000  0.000  0.500
Cu  0.754  0.246  0.750
Cu  0.246  0.754  0.250
Hf  0.076  0.924  0.750
Hf  0.924  0.076  0.250
Hf  0.646  0.354  0.070
Hf  0.354  0.646  0.570
Hf  0.646  0.354  0.430
Hf  0.354  0.646  0.930
P  0.000  0.000  0.000

Values from the calculation:
Its total energy is -8.34 eV per atom. The space-group type is No. 63.

=====

No. 7
First-principles (GGA-PBE) data for a geometry-optimized MgZrCoSb structure, as listed in the Open Quantum Materials Database.

a b c (Å): 4.694 4.694 4.694
angles (deg): 60.00 60.00 60.00
Site moments in Bohr magnetons follow the coordinates.
Sites, in units of the cell vectors:
Mg  0.250  0.250  0.250  0.00
Sb  0.000  0.000  0.000  0.00
Co  0.750  0.750  0.750  0.09
Zr  0.500  0.500  0.500  -0.03

Values from the calculation:
For the polymorph energy (0 for the lowest one), the calculation gives 0.0 meV per atom. The space-group type is No. 216.

=====

No. 8
First-principles (GGA-PBE) data for a geometry-optimized HfZrCoPb structure, as listed in the Open Quantum Materials Database.

a b c (Å): 4.770 4.770 4.770
angles (deg): 60.00 60.00 60.00
Site moments in Bohr magnetons follow the coordinates.
Sites, in units of the cell vectors:
Pb  0.000  0.000  0.000  0.02
Zr  0.250  0.250  0.250  1.10
Co  0.750  0.750  0.750  0.80
Hf  0.500  0.500  0.500  0.57

Values from the calculation:
For the polymorph energy (0 for the lowest one), the calculation gives 0.0 meV per atom. The space-group type is No. 216.

=====

No. 9
First-principles (GGA-PBE) data for a geometry-optimized RbErTeO structure, as listed in the Open Quantum Materials Database.

a b c (Å): 4.272 4.272 10.744
angles (deg): 90.00 90.00 90.00
Sites, in units of the cell vectors:
Te  0.250  0.250  0.747
Er  0.750  0.750  0.919
Rb  0.750  0.250  0.500
Er  0.250  0.250  0.081
O  0.250  0.750  0.000
O  0.750  0.250  0.000
Rb  0.250  0.750  0.500
Te  0.750  0.750  0.253

Values from the calculation:
For the polymorph energy (0 for the lowest one), the calculation gives 343.7 meV per atom. The space-group type is No. 129.

=====

No. 10
First-principles (GGA-PBE) data for a geometry-optimized ZrBeCdPd structure, as listed in the Open Quantum Materials Database.

a b c (Å): 4.551 4.551 4.551
angles (deg): 60.00 60.00 60.00
Sites, in units of the cell vectors:
Pd  0.250  0.250  0.250
Zr  0.000  0.000  0.000
Cd  0.500  0.500  0.500
Be  0.750  0.750  0.750

Values from the calculation:
For the polymorph energy (0 for the lowest one), the calculation gives 0.0 meV per atom. The space-group type is No. 216.

=====

No. 11
First-principles (GGA-PBE) data for a geometry-optimized PmAlSi structure, as listed in the Open Quantum Materials Database.

a b c (Å): 4.598 4.598 4.598
angles (deg): 60.00 60.00 60.00
Sites, in units of the cell vectors:
Si  0.750  0.750  0.750
Al  0.000  0.000  0.000
Pm  0.250  0.250  0.250

Values from the calculation:
For the polymorph energy (0 for the lowest one), the calculation gives 642.3 meV per atom. The space-group type is No. 216.

=====

No. 12
First-principles (GGA-PBE) data for a geometry-optimized FeBIr2 structure, as listed in the Open Quantum Materials Database.

a b c (Å): 4.132 4.132 4.132
angles (deg): 60.00 60.00 60.00
Site moments in Bohr magnetons follow the coordinates.
Sites, in units of the cell vectors:
Fe  0.250  0.250  0.250  2.18
B  0.500  0.500  0.500  -0.03
Ir  0.000  0.000  0.000  0.14
Ir  0.750  0.750  0.750  -0.02

Values from the calculation:
Its total energy is -7.54 eV per atom. The space-group type is No. 216.

=====

No. 13
First-principles (GGA-PBE) data for a geometry-optimized InCuTePtSe2 structure, as listed in the Open Quantum Materials Database.

a b c (Å): 6.800 6.800 11.074
angles (deg): 90.00 90.00 147.75
Sites, in units of the cell vectors:
Se  0.373  0.627  0.474
Te  0.973  0.027  0.750
Se  0.627  0.373  0.526
Se  0.627  0.373  0.974
Cu  0.626  0.374  0.750
In  0.720  0.280  0.250
Cu  0.374  0.626  0.250
Pt  0.000  0.000  0.500
Te  0.027  0.973  0.250
Se  0.373  0.627  0.026
In  0.280  0.720  0.750
Pt  0.000  0.000  0.000

Values from the calculation:
Its total energy is -3.99 eV per atom. The space-group type is No. 63.

=====

No. 14
First-principles (GGA-PBE) data for a geometry-optimized YTcOs structure, as listed in the Open Quantum Materials Database.

a b c (Å): 4.487 4.487 4.487
angles (deg): 60.00 60.00 60.00
Site moments in Bohr magnetons follow the coordinates.
Sites, in units of the cell vectors:
Y  0.250  0.250  0.250  0.03
Os  0.500  0.500  0.500  0.63
Tc  0.000  0.000  0.000  1.72

Values from the calculation:
For the polymorph energy (0 for the lowest one), the calculation gives 1034.8 meV per atom. The space-group type is No. 216.

=====

No. 15
First-principles (GGA-PBE) data for a geometry-optimized PrSbAsO structure, as listed in the Open Quantum Materials Database.

a b c (Å): 4.739 4.739 7.859
angles (deg): 90.00 90.00 90.00
Sites, in units of the cell vectors:
Pr  0.250  0.750  0.500
As  0.250  0.250  0.717
As  0.750  0.750  0.283
O  0.250  0.750  0.000
Sb  0.750  0.750  0.935
O  0.750  0.250  0.000
Sb  0.250  0.250  0.065
Pr  0.750  0.250  0.500

Values from the calculation:
For the polymorph energy (0 for the lowest one), the calculation gives 753.3 meV per atom. The space-group type is No. 129.

=====

No. 16
First-principles (GGA-PBE) data for a geometry-optimized ThTePt structure, as listed in the Open Quantum Materials Database.

a b c (Å): 4.944 4.944 4.944
angles (deg): 60.00 60.00 60.00
Sites, in units of the cell vectors:
Te  0.250  0.250  0.250
Th  0.000  0.000  0.000
Pt  0.500  0.500  0.500

Values from the calculation:
For the polymorph energy (0 for the lowest one), the calculation gives 414.8 meV per atom. The space-group type is No. 216.

=====

No. 17
First-principles (GGA-PBE) data for a geometry-optimized MgNbTlFe structure, as listed in the Open Quantum Materials Database.

a b c (Å): 4.610 4.610 4.610
angles (deg): 60.00 60.00 60.00
Sites, in units of the cell vectors:
Mg  0.750  0.750  0.750
Nb  0.250  0.250  0.250
Tl  0.000  0.000  0.000
Fe  0.500  0.500  0.500

Values from the calculation:
For the polymorph energy (0 for the lowest one), the calculation gives 37.5 meV per atom. The space-group type is No. 216.

=====

No. 18
First-principles (GGA-PBE) data for a geometry-optimized KAgNO structure, as listed in the Open Quantum Materials Database.

a b c (Å): 3.674 6.389 6.431
angles (deg): 90.00 90.00 90.00
Sites, in units of the cell vectors:
O  0.500  0.462  0.169
O  0.500  0.962  0.831
Ag  0.000  0.000  0.684
N  0.000  0.766  0.472
N  0.000  0.266  0.528
Ag  0.000  0.500  0.316
K  0.500  0.527  0.772
K  0.500  0.027  0.228

Values from the calculation:
For the polymorph energy (0 for the lowest one), the calculation gives 428.4 meV per atom. The space-group type is No. 26.

=====

No. 19
First-principles (GGA-PBE) data for a geometry-optimized Sm6MgTa2B8SeO26 structure, as listed in the Open Quantum Materials Database.

a b c (Å): 8.064 8.064 8.654
angles (deg): 90.00 90.00 120.00
Sites, in units of the cell vectors:
O  0.710  0.560  0.022
O  0.226  0.158  0.344
O  0.469  0.275  0.535
O  0.805  0.531  0.535
O  0.426  0.895  0.716
Sm  0.240  0.902  0.198
Sm  0.902  0.663  0.802
O  0.667  0.333  0.753
O  0.068  0.226  0.656
Sm  0.663  0.760  0.198
O  0.469  0.574  0.716
O  0.333  0.667  0.247
B  0.712  0.122  0.388
O  0.725  0.195  0.535
Ta  0.333  0.667  0.879
O  0.932  0.774  0.344
Sm  0.760  0.098  0.802
O  0.531  0.725  0.465
O  0.275  0.805  0.465
O  0.290  0.440  0.978
O  0.531  0.426  0.284
B  0.410  0.288  0.388
O  0.158  0.932  0.656
O  0.560  0.850  0.978
B  0.333  0.667  0.414
O  0.195  0.469  0.465
O  0.842  0.068  0.344
B  0.667  0.333  0.586
Sm  0.098  0.337  0.198
Sm  0.337  0.240  0.802
Mg  0.000  0.000  0.500
O  0.774  0.842  0.656
O  0.895  0.469  0.284
B  0.122  0.410  0.612
B  0.590  0.712  0.612
O  0.150  0.710  0.978
O  0.105  0.531  0.716
O  0.850  0.290  0.022
Se  0.000  0.000  0.000
O  0.574  0.105  0.284
O  0.440  0.150  0.022
Ta  0.667  0.333  0.121
B  0.288  0.878  0.612
B  0.878  0.590  0.388

Values from the calculation:
Its total energy is -8.34 eV per atom. The space-group type is No. 147.

=====

No. 20
First-principles (GGA-PBE) data for a geometry-optimized SrBiAu structure, as listed in the Open Quantum Materials Database.

a b c (Å): 4.887 4.887 8.801
angles (deg): 90.00 90.00 120.00
Sites, in units of the cell vectors:
Au  0.667  0.333  0.250
Bi  0.667  0.333  0.750
Au  0.333  0.667  0.750
Bi  0.333  0.667  0.250
Sr  0.000  0.000  0.000
Sr  0.000  0.000  0.500

Values from the calculation:
Its total energy is -3.74 eV per atom. The space-group type is No. 194.